Entry 1:
Cs2RbNaBr: optimized geometry, GGA-PBE.

Output
* N(E_F): 0.6102 states/eV/atom
* SG: P4/mmm
* relative energy among the computed polymorphs: 82 meV/atom

Cell: 7.3684 7.3684 6.4244 Å, 90.00 90.00 90.00°
Positions (direct):
Cs 0.0000 0.5000 0.0000
Cs 0.5000 0.0000 0.0000
Rb 0.0000 0.0000 0.5000
Na 0.5000 0.5000 0.5000
Br 0.5000 0.5000 0.0000


Entry 2:
LaGa2Bi2: optimized geometry, GGA-PBE.

Output
* energy relative to the elements: -317 meV/atom
* N(E_F): 1.0129 states/eV/atom
* SG: P4/mbm
* relative energy among the computed polymorphs: 0 meV/atom

Cell: 8.0934 8.0934 4.1826 Å, 90.00 90.00 90.00°
Positions (direct):
La 0.0000 0.0000 0.0000
La 0.5000 0.5000 0.0000
Ga 0.1174 0.3826 0.0000
Ga 0.3826 0.8826 0.0000
Ga 0.6174 0.1174 0.0000
Ga 0.8826 0.6174 0.0000
Bi 0.1759 0.6759 0.5000
Bi 0.3241 0.1759 0.5000
Bi 0.6759 0.8241 0.5000
Bi 0.8241 0.3241 0.5000


Entry 3:
ReTc3Ge: optimized geometry, GGA-PBE.

Output
* energy relative to the elements: 16 meV/atom
* N(E_F): 0.8085 states/eV/atom
* SG: C2/m
* relative energy among the computed polymorphs: 0 meV/atom

Cell: 7.7995 7.7995 6.5972 Å, 101.47 101.47 21.76°
Positions (direct):
Re 0.2073 0.2073 0.3442
Re 0.7927 0.7927 0.6558
Tc 0.0009 0.0009 0.7677
Tc 0.1907 0.1907 0.8669
Tc 0.4084 0.4084 0.4607
Tc 0.5916 0.5916 0.5393
Tc 0.8093 0.8093 0.1331
Tc 0.9991 0.9991 0.2323
Ge 0.3982 0.3982 0.9349
Ge 0.6018 0.6018 0.0651


Entry 4:
NaSr2TlH: optimized geometry, GGA-PBE.

Output
* N(E_F): 0.7088 states/eV/atom
* SG: P4/mmm
* relative energy among the computed polymorphs: 157 meV/atom

Cell: 5.5110 5.5110 4.8960 Å, 90.00 90.00 90.00°
Positions (direct):
Na 0.0000 0.0000 0.0000
Sr 0.0000 0.5000 0.5000
Sr 0.5000 0.0000 0.5000
Tl 0.5000 0.5000 0.0000
H 0.5000 0.5000 0.5000


Entry 5:
K5SnBi3: optimized geometry, GGA-PBE.

Output
* energy relative to the elements: -362 meV/atom
* N(E_F): 0.3724 states/eV/atom
* SG: P2_1/c

Cell: 10.2341 8.9502 19.4274 Å, 90.00 121.70 90.00°
Positions (direct):
K 0.0535 0.0058 0.2451
K 0.0535 0.4942 0.7451
K 0.2411 0.5190 0.5775
K 0.2411 0.9810 0.0775
K 0.3353 0.6608 0.2606
K 0.3353 0.8392 0.7606
K 0.3445 0.1788 0.9217
K 0.3445 0.3212 0.4217
K 0.3775 0.0026 0.5858
K 0.3775 0.4974 0.0858
K 0.6225 0.5026 0.9142
K 0.6225 0.9974 0.4142
K 0.6555 0.6788 0.5783
K 0.6555 0.8212 0.0783
K 0.6647 0.1608 0.2394
K 0.6647 0.3392 0.7394
K 0.7589 0.0190 0.9225
K 0.7589 0.4810 0.4225
K 0.9465 0.5058 0.2549
K 0.9465 0.9942 0.7549
Sn 0.0166 0.1465 0.5883
Sn 0.0166 0.3535 0.0883
Sn 0.9834 0.6465 0.9117
Sn 0.9834 0.8535 0.4117
Bi 0.0159 0.1917 0.4329
Bi 0.0159 0.3083 0.9329
Bi 0.2614 0.7339 0.4188
Bi 0.2614 0.7661 0.9188
Bi 0.3149 0.2382 0.7305
Bi 0.3149 0.2618 0.2305
Bi 0.6851 0.7382 0.7695
Bi 0.6851 0.7618 0.2695
Bi 0.7386 0.2339 0.0812
Bi 0.7386 0.2661 0.5812
Bi 0.9841 0.6917 0.0671
Bi 0.9841 0.8083 0.5671


Entry 6:
Dy3IrI3: optimized geometry, GGA-PBE.

Output
* N(E_F): 0.3936 states/eV/atom
* SG: P2_1/m

Cell: 8.8960 4.2585 12.3648 Å, 90.00 93.43 90.00°
Positions (direct):
Dy 0.0955 0.2500 0.3144
Dy 0.1417 0.2500 0.8706
Dy 0.2498 0.7500 0.0984
Dy 0.7502 0.2500 0.9016
Dy 0.8583 0.7500 0.1294
Dy 0.9045 0.7500 0.6856
Ir 0.0486 0.2500 0.0922
Ir 0.9514 0.7500 0.9078
I 0.1421 0.2500 0.6063
I 0.3485 0.7500 0.3594
I 0.4288 0.7500 0.8674
I 0.5712 0.2500 0.1326
I 0.6515 0.2500 0.6406
I 0.8579 0.7500 0.3937


Entry 7:
RbCoPd2: optimized geometry, GGA-PBE.

Output
* energy relative to the elements: 851 meV/atom
* N(E_F): 0.7482 states/eV/atom
* SG: Fm-3m
* relative energy among the computed polymorphs: 270 meV/atom

Cell: 6.7624 6.7624 6.7624 Å, 90.00 90.00 90.00°
Positions (direct):
Rb 0.0000 0.0000 0.0000
Rb 0.0000 0.5000 0.5000
Rb 0.5000 0.0000 0.5000
Rb 0.5000 0.5000 0.0000
Co 0.0000 0.0000 0.5000
Co 0.0000 0.5000 0.0000
Co 0.5000 0.0000 0.0000
Co 0.5000 0.5000 0.5000
Pd 0.2500 0.2500 0.2500
Pd 0.2500 0.2500 0.7500
Pd 0.2500 0.7500 0.2500
Pd 0.2500 0.7500 0.7500
Pd 0.7500 0.2500 0.2500
Pd 0.7500 0.2500 0.7500
Pd 0.7500 0.7500 0.2500
Pd 0.7500 0.7500 0.7500


Entry 8:
K2AlHgH6: optimized geometry, GGA-PBE.

Output
* N(E_F): 0.0390 states/eV/atom
* SG: I4/mmm

Cell: 5.7616 5.7616 5.7616 Å, 120.35 120.35 89.40°
Positions (direct):
K 0.2500 0.7500 0.5000
K 0.7500 0.2500 0.5000
Al 0.0000 0.0000 0.0000
Hg 0.5000 0.5000 0.0000
H 0.2190 0.2190 0.0000
H 0.2212 0.2212 0.4423
H 0.2212 0.7788 0.0000
H 0.7788 0.2212 0.0000
H 0.7788 0.7788 0.5577
H 0.7810 0.7810 0.0000


What did we get for total DFT energy (no corrections)? Answer: -1.7065 -4.0653 -9.6172 -2.2208 -2.7104 -5.0501 -3.7640 -2.7331 eV per atom, in the order shown.